Crystalline Ba2CrOs3O12 at its relaxed geometry, computed with PBE+U.

Computed properties:
As for the total energy: -131.99 eV/cell. The space group is R-3m (166). As for the crystal system: trigonal. Its density of states at the Fermi level is 0.31 states/eV per atom.

Cell and atoms, written as extended XYZ:
```
18
Lattice="-6.8171 1.7168 0.6981 -4.0310 0.1358 -5.8000 -4.8366 -5.0807 -0.8375" Properties=species:S:1:pos:R:3 pbc="T T T"
Os -3.4085 0.8584 0.3490
O -3.6253 -0.1830 -3.8653
O -7.4426 -0.9525 -5.3823
O -10.4344 -3.9671 -5.8640
O -9.1141 -0.0040 -1.4837
O -7.9259 -4.0822 -2.4050
Ba -9.8667 -2.0306 -3.7363
O -6.5705 -3.2240 -4.4557
O -12.0593 -3.0450 -2.0741
O -4.0952 -3.2255 -0.9710
O -8.2421 -2.2755 -0.5571
O -7.7587 0.8542 -3.5344
Os -2.4183 -2.5403 -0.4188
Os -2.0155 0.0679 -2.9000
Cr 0.0000 0.0000 0.0000
O -11.5895 -0.0025 -4.9684
O -5.2503 0.7391 -0.0754
Ba -5.8180 -1.1974 -2.2031
```